Material: BaHfPt2Se
Method: DFT, GGA-PBE
State: relaxed

abc: 4.8712 7.6499 4.8712
angles: 90.00 90.00 90.00
Fractional positions:
Se 0.5000 0.5000 0.5000
Hf 0.0000 0.0000 0.0000
Ba 0.0000 0.5000 0.0000
Pt 0.0000 0.0000 0.5000
Pt 0.5000 0.0000 0.0000

Summary:
- Space group: P4/mmm (123)
- Calculated volume: 181.5 Å³ per cell
- E: -26.55 eV/cell
- D(E_F): 2.7 states/eV/f.u.